Here is a relaxed In2WBr crystal from Alexandria via LeMat-Bulk. Energies are from PBE.

Lattice parameters (Å, degrees): 3.3485 3.3485 27.1218 90.00 90.00 120.00
Space group R-3m (No. 166, hexagonal axes)
Symmetry-distinct sites (fractional):
In1 0.0000 0.0000 0.2443 (multiplicity 6)
W1 0.0000 0.0000 0.5000 (multiplicity 3)
Br1 0.0000 0.0000 0.0000 (multiplicity 3)

Summary:
E_form (uncorrected), eV/atom: 0.49
E above lowest polymorph, meV per atom: 135
Calculated total energy, eV per formula unit: -18.12